1.
{
  "formula": "Tm4ZnCu",
  "functional": "GGA-PBE",
  "state": "optimized geometry",
  "lattice_angstrom": [[3.463, -0.001, 0.000], [0.001, 3.463, 0.000], [-0.001, -0.001, 12.172]],
  "species": ["Tm", "Tm", "Tm", "Tm", "Cu", "Zn"],
  "fractional_positions": [[0.500, 0.500, 0.145], [0.000, 0.000, 0.362], [0.000, 0.000, 0.638], [0.500, 0.500, 0.855], [0.500, 0.500, 0.500], [0.000, 0.000, 0.000]],
  "n_ef_per_ev_cell": 8.010,
  "e_tot_ev_per_cell": -24.3,
  "crystal_system": "tetragonal",
  "space_group": "P4/mmm (123)",
  "e_form_mev_per_atom": -180,
  "total_magnetization_mub_per_fu": 0.001
}

***

2.
{
  "formula": "TmZn9Cu2",
  "functional": "GGA-PBE",
  "state": "optimized geometry",
  "lattice_angstrom": [[6.064, 0.000, 2.792], [3.032, 7.401, 1.396], [-0.063, 0.000, 8.118]],
  "species": ["Zn", "Zn", "Zn", "Zn", "Zn", "Zn", "Zn", "Zn", "Zn", "Zn", "Zn", "Zn", "Zn", "Zn", "Zn", "Zn", "Zn", "Zn", "Cu", "Cu", "Cu", "Cu", "Tm", "Tm"],
  "fractional_positions": [[0.009, 0.917, 0.676], [0.676, 0.176, 0.583], [0.601, 0.083, 0.324], [0.316, 0.083, 0.676], [0.009, 0.676, 0.917], [0.316, 0.676, 0.083], [0.434, 0.824, 0.417], [0.601, 0.324, 0.083], [0.750, 0.500, 0.500], [0.149, 0.417, 0.176], [0.000, 0.000, 0.000], [0.434, 0.417, 0.824], [0.074, 0.324, 0.917], [0.741, 0.583, 0.824], [0.074, 0.917, 0.324], [0.676, 0.583, 0.176], [0.149, 0.176, 0.417], [0.741, 0.824, 0.583], [0.375, 0.750, 0.750], [0.875, 0.250, 0.250], [0.875, 0.250, 0.750], [0.875, 0.750, 0.250], [0.500, 0.000, 0.000], [0.250, 0.500, 0.500]],
  "n_ef_per_ev_cell": 4.636,
  "e_tot_ev_per_cell": -53.2,
  "crystal_system": "tetragonal",
  "space_group": "I4_1/amd (141)",
  "e_form_mev_per_atom": -208,
  "total_magnetization_mub_per_fu": 0.000
}

***

3.
{
  "formula": "Tm2Zn3Cu4",
  "functional": "GGA-PBE",
  "state": "optimized geometry",
  "lattice_angstrom": [[-3.298, 3.962, 1.183], [-5.457, -3.342, -4.024], [-0.572, -5.635, 5.455]],
  "species": ["Zn", "Zn", "Zn", "Zn", "Zn", "Zn", "Tm", "Tm", "Tm", "Tm", "Cu", "Cu", "Cu", "Cu", "Cu", "Cu", "Cu", "Cu"],
  "fractional_positions": [[0.500, 0.500, 0.000], [0.521, 0.750, 0.542], [0.021, 0.750, 0.542], [0.979, 0.250, 0.458], [0.479, 0.250, 0.458], [0.000, 0.000, 0.000], [0.392, 0.091, 0.784], [0.892, 0.409, 0.784], [0.108, 0.591, 0.216], [0.608, 0.909, 0.216], [0.811, 0.250, 0.122], [0.311, 0.250, 0.122], [0.689, 0.750, 0.878], [0.321, 0.481, 0.642], [0.189, 0.750, 0.878], [0.179, 0.981, 0.358], [0.821, 0.019, 0.642], [0.679, 0.519, 0.358]],
  "n_ef_per_ev_cell": 9.133,
  "e_tot_ev_per_cell": -62.6,
  "crystal_system": "orthorhombic",
  "space_group": "Cmce (64)",
  "e_form_mev_per_atom": -239,
  "total_magnetization_mub_per_fu": 0.000
}

***

4.
{
  "formula": "Tm2ZnCu",
  "functional": "GGA-PBE",
  "state": "optimized geometry",
  "lattice_angstrom": [[4.904, 0.000, 0.000], [2.452, 4.247, 0.000], [2.452, 1.416, 4.004]],
  "species": ["Tm", "Tm", "Cu", "Zn"],
  "fractional_positions": [[0.750, 0.750, 0.750], [0.250, 0.250, 0.250], [0.500, 0.500, 0.500], [0.000, 0.000, 0.000]],
  "n_ef_per_ev_cell": 3.093,
  "e_tot_ev_per_cell": -15.6,
  "crystal_system": "cubic",
  "space_group": "Fm-3m (225)",
  "e_form_mev_per_atom": -311,
  "total_magnetization_mub_per_fu": 0.000
}

***

5.
{
  "formula": "TmZn4Cu",
  "functional": "GGA-PBE",
  "state": "optimized geometry",
  "lattice_angstrom": [[5.201, 0.000, 0.000], [2.601, 4.504, 0.000], [2.601, 1.501, 4.247]],
  "species": ["Tm", "Zn", "Zn", "Zn", "Zn", "Cu"],
  "fractional_positions": [[0.250, 0.250, 0.250], [0.124, 0.625, 0.625], [0.625, 0.625, 0.625], [0.625, 0.625, 0.124], [0.625, 0.124, 0.625], [0.000, 0.000, 0.000]],
  "n_ef_per_ev_cell": 2.593,
  "e_tot_ev_per_cell": -14.3,
  "crystal_system": "cubic",
  "space_group": "F-43m (216)",
  "e_form_mev_per_atom": -112,
  "total_magnetization_mub_per_fu": 0.000
}

***

6.
{
  "formula": "Tm2ZnCu6",
  "functional": "GGA-PBE",
  "state": "optimized geometry",
  "lattice_angstrom": [[-4.473, 0.256, -3.221], [-1.446, -5.015, 1.610], [-3.194, -0.648, 4.383]],
  "species": ["Cu", "Cu", "Cu", "Cu", "Cu", "Cu", "Tm", "Tm", "Zn"],
  "fractional_positions": [[0.666, 0.180, 0.180], [0.334, 0.820, 0.820], [0.662, 0.179, 0.640], [0.338, 0.821, 0.360], [0.662, 0.640, 0.179], [0.338, 0.360, 0.821], [0.153, 0.334, 0.334], [0.847, 0.666, 0.666], [0.000, 0.000, 0.000]],
  "n_ef_per_ev_cell": 4.526,
  "e_tot_ev_per_cell": -36.8,
  "crystal_system": "monoclinic",
  "space_group": "C2/m (12)",
  "e_form_mev_per_atom": -226,
  "total_magnetization_mub_per_fu": 0.000
}

***

7.
{
  "formula": "Tm12ZnCu6",
  "functional": "GGA-PBE",
  "state": "optimized geometry",
  "lattice_angstrom": [[7.873, 0.000, -2.784], [-3.937, 6.818, -2.784], [0.000, 0.000, 8.351]],
  "species": ["Cu", "Cu", "Cu", "Cu", "Cu", "Cu", "Tm", "Tm", "Tm", "Tm", "Tm", "Tm", "Tm", "Tm", "Tm", "Tm", "Tm", "Tm", "Zn"],
  "fractional_positions": [[0.874, 0.374, 0.500], [0.374, 0.500, 0.874], [0.500, 0.126, 0.626], [0.126, 0.626, 0.500], [0.500, 0.874, 0.374], [0.626, 0.500, 0.126], [0.188, 0.292, 0.480], [0.708, 0.896, 0.188], [0.812, 0.708, 0.520], [0.292, 0.480, 0.188], [0.292, 0.104, 0.812], [0.188, 0.708, 0.896], [0.896, 0.188, 0.708], [0.520, 0.812, 0.708], [0.104, 0.812, 0.292], [0.708, 0.520, 0.812], [0.812, 0.292, 0.104], [0.480, 0.188, 0.292], [0.000, 0.000, 0.000]],
  "n_ef_per_ev_cell": 10.651,
  "e_tot_ev_per_cell": -83.0,
  "crystal_system": "cubic",
  "space_group": "Im-3 (204)",
  "e_form_mev_per_atom": -186,
  "total_magnetization_mub_per_fu": 0.000
}

***

8.
{
  "formula": "TmZn6Cu6",
  "functional": "GGA-PBE",
  "state": "optimized geometry",
  "lattice_angstrom": [[4.936, 0.000, 0.000], [2.468, 6.150, -0.025], [2.468, 0.123, 6.149]],
  "species": ["Cu", "Cu", "Cu", "Cu", "Cu", "Cu", "Zn", "Zn", "Zn", "Zn", "Zn", "Zn", "Tm"],
  "fractional_positions": [[0.500, 0.222, 0.778], [0.500, 0.500, 0.000], [0.000, 0.500, 0.000], [0.500, 0.778, 0.222], [0.000, 0.000, 0.500], [0.500, 0.000, 0.500], [0.350, 0.650, 0.650], [0.297, 0.203, 0.203], [0.000, 0.654, 0.346], [0.000, 0.346, 0.654], [0.650, 0.350, 0.350], [0.703, 0.797, 0.797], [0.000, 0.000, 0.000]],
  "n_ef_per_ev_cell": 6.188,
  "e_tot_ev_per_cell": -38.9,
  "crystal_system": "orthorhombic",
  "space_group": "Immm (71)",
  "e_form_mev_per_atom": -174,
  "total_magnetization_mub_per_fu": 0.000
}